Run w
The following is a PBE calculation of an optimized crystal structure of NdTm4Sc, from Alexandria.

Structure (CIF):
```
data_NdTm4Sc
_space_group_name_H-M_alt 'P 1'
_space_group_IT_number 1
_cell_length_a 5.8381
_cell_length_b 5.8381
_cell_length_c 11.1761
_cell_angle_alpha 117.11
_cell_angle_beta 117.11
_cell_angle_gamma 33.82
loop_
_space_group_symop_operation_xyz
'x,y,z'
loop_
_atom_site_label
_atom_site_fract_x
_atom_site_fract_y
_atom_site_fract_z
_atom_site_occupancy
Nd1 0.0000 0.0000 0.0000 1
Tm1 0.1563 0.1563 0.3501 1
Tm2 0.3467 0.3467 0.1644 1
Tm3 0.6533 0.6533 0.8356 1
Tm4 0.8437 0.8437 0.6499 1
Sc1 0.5000 0.5000 0.5000 1
```

Output
Space group: C2/m (12)
D(E_F) in states/eV per cell: 12.19

=====

Run x
The following is a PBE calculation of an optimized crystal structure of NdTm4Sc, from Alexandria.

Structure (CIF):
```
data_NdTm4Sc
_space_group_name_H-M_alt 'P 1'
_space_group_IT_number 1
_cell_length_a 8.4012
_cell_length_b 8.4012
_cell_length_c 6.2182
_cell_angle_alpha 99.88
_cell_angle_beta 99.88
_cell_angle_gamma 117.20
loop_
_space_group_symop_operation_xyz
'x,y,z'
loop_
_atom_site_label
_atom_site_fract_x
_atom_site_fract_y
_atom_site_fract_z
_atom_site_occupancy
Nd1 0.0860 0.9140 0.7500 1
Nd2 0.9140 0.0860 0.2500 1
Tm1 0.0844 0.3389 0.8782 1
Tm2 0.2113 0.5957 0.4635 1
Tm3 0.3389 0.0844 0.3782 1
Tm4 0.4043 0.7887 0.0365 1
Tm5 0.5957 0.2113 0.9635 1
Tm6 0.6611 0.9156 0.6218 1
Tm7 0.7887 0.4043 0.5365 1
Tm8 0.9156 0.6611 0.1218 1
Sc1 0.4990 0.5010 0.2500 1
Sc2 0.5010 0.4990 0.7500 1
```

Output
Space group: C2/c (15)
D(E_F) in states/eV per cell: 23.01

=====

Name the least stable of them. run w.

=====

Run w
The following is a PBE calculation of an optimized crystal structure of Nd2TmSc2, from Alexandria.

Structure (CIF):
```
data_Nd2TmSc2
_space_group_name_H-M_alt 'P 1'
_space_group_IT_number 1
_cell_length_a 7.9191
_cell_length_b 7.9191
_cell_length_c 5.7749
_cell_angle_alpha 102.93
_cell_angle_beta 102.93
_cell_angle_gamma 106.99
loop_
_space_group_symop_operation_xyz
'x,y,z'
loop_
_atom_site_label
_atom_site_fract_x
_atom_site_fract_y
_atom_site_fract_z
_atom_site_occupancy
Nd1 0.0983 0.2700 0.3719 1
Nd2 0.2700 0.0983 0.8719 1
Nd3 0.7300 0.9017 0.1281 1
Nd4 0.9017 0.7300 0.6281 1
Tm1 0.4334 0.5666 0.2500 1
Tm2 0.5666 0.4334 0.7500 1
Sc1 0.1710 0.8290 0.2500 1
Sc2 0.3071 0.6929 0.7500 1
Sc3 0.6929 0.3071 0.2500 1
Sc4 0.8290 0.1710 0.7500 1
```

Output
Space group: C2/c (15)
D(E_F) in states/eV per cell: 14.38

=====

Run x
The following is a PBE calculation of an optimized crystal structure of Nd2TmSc2, from Alexandria.

Structure (CIF):
```
data_Nd2TmSc2
_space_group_name_H-M_alt 'P 1'
_space_group_IT_number 1
_cell_length_a 6.0113
_cell_length_b 6.0113
_cell_length_c 7.7261
_cell_angle_alpha 129.99
_cell_angle_beta 129.99
_cell_angle_gamma 48.33
loop_
_space_group_symop_operation_xyz
'x,y,z'
loop_
_atom_site_label
_atom_site_fract_x
_atom_site_fract_y
_atom_site_fract_z
_atom_site_occupancy
Nd1 0.2022 0.2022 0.2957 1
Nd2 0.7978 0.7978 0.7043 1
Tm1 0.0000 0.0000 0.5000 1
Sc1 0.3967 0.3967 0.0949 1
Sc2 0.6033 0.6033 0.9051 1
```

Output
Space group: C2/m (12)
D(E_F) in states/eV per cell: 7.16

=====

Name the least stable of them. run w.

=====

Run w
The following is a PBE calculation of an optimized crystal structure of Nd4Tm2Sc, from Alexandria.

Structure (CIF):
```
data_Nd4Tm2Sc
_space_group_name_H-M_alt 'P 1'
_space_group_IT_number 1
_cell_length_a 12.4083
_cell_length_b 6.7239
_cell_length_c 13.3717
_cell_angle_alpha 67.07
_cell_angle_beta 29.94
_cell_angle_gamma 82.99
loop_
_space_group_symop_operation_xyz
'x,y,z'
loop_
_atom_site_label
_atom_site_fract_x
_atom_site_fract_y
_atom_site_fract_z
_atom_site_occupancy
Nd1 0.0038 0.5694 0.7836 1
Nd2 0.0184 0.9816 0.1213 1
Nd3 0.1287 0.3713 0.2316 1
Nd4 0.3713 0.1287 0.2684 1
Nd5 0.4664 0.6067 0.2462 1
Nd6 0.5694 0.0038 0.6433 1
Nd7 0.6067 0.4664 0.6806 1
Nd8 0.9816 0.0184 0.8787 1
Tm1 0.0657 0.5458 0.0012 1
Tm2 0.2488 0.8628 0.1843 1
Tm3 0.5458 0.0657 0.3872 1
Tm4 0.8628 0.2488 0.7042 1
Sc1 0.5000 0.5000 0.5000 1
Sc2 0.7500 0.7500 0.7500 1
```

Output
Space group: Fdd2 (43)
D(E_F) in states/eV per cell: 19.62

=====

Run x
The following is a PBE calculation of an optimized crystal structure of Nd4Tm2Sc, from Alexandria.

Structure (CIF):
```
data_Nd4Tm2Sc
_space_group_name_H-M_alt 'P 1'
_space_group_IT_number 1
_cell_length_a 8.8974
_cell_length_b 8.8974
_cell_length_c 8.8974
_cell_angle_alpha 135.06
_cell_angle_beta 100.24
_cell_angle_gamma 96.56
loop_
_space_group_symop_operation_xyz
'x,y,z'
loop_
_atom_site_label
_atom_site_fract_x
_atom_site_fract_y
_atom_site_fract_z
_atom_site_occupancy
Nd1 0.1641 0.1560 0.0081 1
Nd2 0.2442 0.2169 0.4727 1
Nd3 0.2442 0.7715 0.0273 1
Nd4 0.3521 0.8440 0.5081 1
Nd5 0.6479 0.1560 0.4919 1
Nd6 0.7558 0.2285 0.9727 1
Nd7 0.7558 0.7831 0.5273 1
Nd8 0.8359 0.8440 0.9919 1
Tm1 0.0000 0.5000 0.5000 1
Tm2 0.0326 0.2826 0.7500 1
Tm3 0.5000 0.5000 0.0000 1
Tm4 0.9674 0.7174 0.2500 1
Sc1 0.5000 0.0000 0.0000 1
Sc2 0.5000 0.5000 0.5000 1
```

Output
Space group: Imma (74)
D(E_F) in states/eV per cell: 20.33

=====

Name the least stable of them. run x.

=====

Run w
The following is a PBE calculation of an optimized crystal structure of Nd4Tm5Sc, from Alexandria.

Structure (CIF):
```
data_Nd4Tm5Sc
_space_group_name_H-M_alt 'P 1'
_space_group_IT_number 1
_cell_length_a 8.0918
_cell_length_b 8.0918
_cell_length_c 8.0918
_cell_angle_alpha 97.28
_cell_angle_beta 97.28
_cell_angle_gamma 138.30
loop_
_space_group_symop_operation_xyz
'x,y,z'
loop_
_atom_site_label
_atom_site_fract_x
_atom_site_fract_y
_atom_site_fract_z
_atom_site_occupancy
Nd1 0.0000 0.3210 0.3210 1
Nd2 0.0000 0.6790 0.6790 1
Nd3 0.3210 0.0000 0.3210 1
Nd4 0.6790 0.0000 0.6790 1
Tm1 0.3032 0.3032 0.6272 1
Tm2 0.3032 0.6760 0.0000 1
Tm3 0.6760 0.3032 0.0000 1
Tm4 0.6760 0.6760 0.3728 1
Tm5 0.7687 0.7687 0.0000 1
Sc1 0.2468 0.2468 0.0000 1
```

Output
Space group: I4mm (107)
D(E_F) in states/eV per cell: 13.63

=====

Run x
The following is a PBE calculation of an optimized crystal structure of Nd4Tm5Sc, from Alexandria.

Structure (CIF):
```
data_Nd4Tm5Sc
_space_group_name_H-M_alt 'P 1'
_space_group_IT_number 1
_cell_length_a 3.4792
_cell_length_b 8.6381
_cell_length_c 11.1314
_cell_angle_alpha 88.84
_cell_angle_beta 89.97
_cell_angle_gamma 78.48
loop_
_space_group_symop_operation_xyz
'x,y,z'
loop_
_atom_site_label
_atom_site_fract_x
_atom_site_fract_y
_atom_site_fract_z
_atom_site_occupancy
Nd1 0.0289 0.4413 0.2443 1
Nd2 0.3394 0.8254 0.2527 1
Nd3 0.6606 0.1746 0.7473 1
Nd4 0.9711 0.5587 0.7557 1
Tm1 0.1687 0.1610 0.0428 1
Tm2 0.1724 0.1550 0.4490 1
Tm3 0.5000 0.5000 0.5000 1
Tm4 0.8276 0.8450 0.5510 1
Tm5 0.8313 0.8390 0.9572 1
Sc1 0.5000 0.5000 0.0000 1
```

Output
Space group: P-1 (2)
D(E_F) in states/eV per cell: 14.10

=====

Name the least stable of them. run w.

=====

Run w
The following is a PBE calculation of an optimized crystal structure of Nd3Tm4Sc, from Alexandria.

Structure (CIF):
```
data_Nd3Tm4Sc
_space_group_name_H-M_alt 'P 1'
_space_group_IT_number 1
_cell_length_a 8.7665
_cell_length_b 8.7665
_cell_length_c 8.7665
_cell_angle_alpha 157.18
_cell_angle_beta 97.60
_cell_angle_gamma 86.90
loop_
_space_group_symop_operation_xyz
'x,y,z'
loop_
_atom_site_label
_atom_site_fract_x
_atom_site_fract_y
_atom_site_fract_z
_atom_site_occupancy
Nd1 0.0000 0.0000 0.0000 1
Nd2 0.2596 0.7596 0.5000 1
Nd3 0.7404 0.2404 0.5000 1
Tm1 0.1241 0.3660 0.7581 1
Tm2 0.3921 0.6340 0.7581 1
Tm3 0.6079 0.3660 0.2419 1
Tm4 0.8759 0.6340 0.2419 1
Sc1 0.5000 0.5000 0.0000 1
```

Output
Space group: Immm (71)
D(E_F) in states/eV per cell: 12.03

=====

Run x
The following is a PBE calculation of an optimized crystal structure of Nd3Tm4Sc, from Alexandria.

Structure (CIF):
```
data_Nd3Tm4Sc
_space_group_name_H-M_alt 'P 1'
_space_group_IT_number 1
_cell_length_a 11.2507
_cell_length_b 7.2298
_cell_length_c 6.2026
_cell_angle_alpha 90.00
_cell_angle_beta 90.00
_cell_angle_gamma 90.00
loop_
_space_group_symop_operation_xyz
'x,y,z'
loop_
_atom_site_label
_atom_site_fract_x
_atom_site_fract_y
_atom_site_fract_z
_atom_site_occupancy
Nd1 0.0000 0.1277 0.0000 1
Nd2 0.2502 0.1247 0.3335 1
Nd3 0.2498 0.8753 0.8335 1
Nd4 0.5000 0.8723 0.5000 1
Nd5 0.7498 0.1247 0.3335 1
Nd6 0.7502 0.8753 0.8335 1
Tm1 0.0000 0.3781 0.5023 1
Tm2 0.0000 0.6223 0.0000 1
Tm3 0.2447 0.6228 0.3376 1
Tm4 0.2553 0.3772 0.8376 1
Tm5 0.5000 0.3777 0.5000 1
Tm6 0.5000 0.6219 0.0023 1
Tm7 0.7447 0.3772 0.8376 1
Tm8 0.7553 0.6228 0.3376 1
Sc1 0.0000 0.8682 0.4963 1
Sc2 0.5000 0.1318 0.9963 1
```

Output
Space group: Pmn2_1 (31)
D(E_F) in states/eV per cell: 27.27

=====

Name the least stable of them. run w.